(1)
The following is a PBE calculation of crystalline HoSc4P5 at its relaxed geometry, from Alexandria.

Computed properties:
Density of states at the Fermi level = 1.784 states/eV/cell
Energy of formation from the pure elements = -1447 kJ/mol of formula units
Volume = 194.9 Å³/cell

a = 3.8029 Å, b = 5.3934 Å, c = 10.0570 Å
α = 105.55°, β = 100.90°, γ = 90.00°
With the nearest neighbours (Å) after each atom.
Fractional coordinates of all 10 atoms:
Ho  0.0000  0.0000  0.0000  6 P 2.70-2.76
Sc  0.3989  0.3989  0.7978  6 P 2.67-2.70
Sc  0.7977  0.7977  0.5953  6 P 2.65-2.70
Sc  0.2023  0.2023  0.4047  6 P 2.65-2.70
Sc  0.6011  0.6011  0.2022  6 P 2.67-2.70
P  0.6054  0.1054  0.2108  4 Sc 2.65-2.70, 2 Ho 2.76
P  0.8004  0.3004  0.6009  6 Sc 2.66-2.70
P  0.1996  0.6996  0.3991  6 Sc 2.66-2.70
P  0.0000  0.5000  0.0000  2 Ho 2.70, 4 Sc 2.70
P  0.3946  0.8946  0.7892  4 Sc 2.65-2.70, 2 Ho 2.76


(2)
The following is a PBE calculation of crystalline Ho3ScP4 at its relaxed geometry, from Alexandria.

Computed properties:
Density of states at the Fermi level = 0.902 states/eV/cell
Energy of formation from the pure elements = -1210 kJ/mol of formula units
Volume = 172.1 Å³/cell

a = 3.9361 Å, b = 6.8094 Å, c = 6.8094 Å
α = 109.48°, β = 90.00°, γ = 90.00°
With the nearest neighbours (Å) after each atom.
Fractional coordinates of all 8 atoms:
Ho  0.0000  0.0000  0.5000  6 P 2.78
Ho  0.5000  0.5000  0.5000  6 P 2.83
Ho  0.0000  0.5000  0.0000  6 P 2.78
Sc  0.5000  0.0000  0.0000  6 P 2.73
P  0.0000  0.2411  0.2411  2 Sc 2.73, 4 Ho 2.78-2.83
P  0.5000  0.7545  0.2455  1 Sc 2.73, 5 Ho 2.78-2.83
P  0.0000  0.7589  0.7589  2 Sc 2.73, 4 Ho 2.78-2.83
P  0.5000  0.2455  0.7545  1 Sc 2.73, 5 Ho 2.78-2.83